1.
CaThHgIr | PBE | relaxed

Cell and atoms, written as POSCAR:
```
CaThHgIr
1.0
5.150 0.000 0.000
2.575 4.460 0.000
2.575 1.487 4.205
Hg Th Ir Ca
1 1 1 1
Direct
0.750 0.750 0.750
0.500 0.500 0.500
0.250 0.250 0.250
0.000 0.000 0.000
```

Calculated values
Volume   24.2 Å³/atom

=====

2.
CeSmTmZr | PBE | relaxed

Cell and atoms, written as POSCAR:
```
CeSmTmZr
1.0
5.447 0.000 0.000
2.723 4.717 0.000
2.723 1.572 4.447
Zr Ce Tm Sm
1 1 1 1
Direct
0.250 0.250 0.250
0.000 0.000 0.000
0.750 0.750 0.750
0.500 0.500 0.500
```

Calculated values
Volume   28.6 Å³/atom

=====

3.
SrLiCr | PBE | relaxed

Cell and atoms, written as POSCAR:
```
SrLiCr
1.0
-3.176 -3.656 -1.644
-1.919 -3.397 3.307
-4.957 0.167 1.250
Cr Li Sr
1 1 1
Direct
0.500 0.500 0.500
0.750 0.750 0.750
0.000 0.000 0.000
```

Calculated values
Volume   31.5 Å³/atom

=====

Record order is preserved below.
E_form: -0.43; 0.21; 0.75 eV/atom